Density functional theory data (PBE-GGA) for a relaxed NaPmNdSi crystal.

Lattice parameters (Å, degrees): 7.4194 7.4194 7.4194 90.00 90.00 90.00
Space group F-43m (No. 216)
Asymmetric unit:
Na  0.0000  0.0000  0.0000 (multiplicity 4)
Pm  0.2500  0.2500  0.2500 (multiplicity 4)
Nd  0.2500  0.2500  0.7500 (multiplicity 4)
Si  0.0000  0.0000  0.5000 (multiplicity 4)

Properties
ρ ... 5.53 g cm⁻³
Energy relative to the elements, uncorrected ... -0.18 eV/atom
Electronic total energy ... -67.9 eV/cell

=====

Density functional theory data (PBE-GGA) for a relaxed NaPm3Nd2Te6 crystal.

Lattice parameters (Å, degrees): 19.5912 4.4729 9.0105 90.00 103.37 90.00
Space group C2/m (No. 12)
Asymmetric unit:
Na  0.0000  0.0000  0.0000 (multiplicity 2)
Pm  0.0000  0.0000  0.5000 (multiplicity 2)
Pm  0.1658  0.5000  0.8275 (multiplicity 4)
Nd  0.1695  0.5000  0.3415 (multiplicity 4)
Te  0.0010  0.5000  0.2493 (multiplicity 4)
Te  0.1644  0.0000  0.5852 (multiplicity 4)
Te  0.1666  0.0000  0.0812 (multiplicity 4)

Properties
ρ ... 6.54 g cm⁻³
Energy relative to the elements, uncorrected ... -1.40 eV/atom
Electronic total energy ... -121.5 eV/cell

=====

Density functional theory data (PBE-GGA) for a relaxed NaPm2NdTe4 crystal.

Lattice parameters (Å, degrees): 7.7973 4.4607 7.8061 90.00 109.02 90.00
Space group P2/m (No. 10)
Asymmetric unit:
Na  0.0000  0.0000  0.0000 (multiplicity 1)
Pm  0.0000  0.5000  0.5000 (multiplicity 1)
Pm  0.5000  0.0000  0.5000 (multiplicity 1)
Nd  0.5000  0.5000  0.0000 (multiplicity 1)
Te  0.2471  0.0000  0.7497 (multiplicity 2)
Te  0.2495  0.5000  0.2511 (multiplicity 2)

Properties
ρ ... 6.26 g cm⁻³
Energy relative to the elements, uncorrected ... -1.38 eV/atom
Electronic total energy ... -39.2 eV/cell

=====

Density functional theory data (PBE-GGA) for a relaxed Na3PmNd2Te6 crystal.

Lattice parameters (Å, degrees): 7.8660 13.6266 8.0108 90.00 109.11 90.00
Space group C2/m (No. 12)
Asymmetric unit:
Na  0.0000  0.0000  0.0000 (multiplicity 2)
Na  0.0000  0.3327  0.0000 (multiplicity 4)
Pm  0.0000  0.5000  0.5000 (multiplicity 2)
Nd  0.0000  0.1666  0.5000 (multiplicity 4)
Te  0.2455  0.3341  0.7388 (multiplicity 8)
Te  0.2480  0.0000  0.7388 (multiplicity 4)

Properties
ρ ... 5.19 g cm⁻³
Energy relative to the elements, uncorrected ... -1.33 eV/atom
Electronic total energy ... -106.1 eV/cell

=====

Which of these has the lowest ρ? Na3PmNd2Te6

=====

Please write out number 3 again, unchanged.
Density functional theory data (PBE-GGA) for a relaxed NaPm2NdTe4 crystal.

Lattice parameters (Å, degrees): 7.7973 4.4607 7.8061 90.00 109.02 90.00
Space group P2/m (No. 10)
Asymmetric unit:
Na  0.0000  0.0000  0.0000 (multiplicity 1)
Pm  0.0000  0.5000  0.5000 (multiplicity 1)
Pm  0.5000  0.0000  0.5000 (multiplicity 1)
Nd  0.5000  0.5000  0.0000 (multiplicity 1)
Te  0.2471  0.0000  0.7497 (multiplicity 2)
Te  0.2495  0.5000  0.2511 (multiplicity 2)

Properties
ρ ... 6.26 g cm⁻³
Energy relative to the elements, uncorrected ... -1.38 eV/atom
Electronic total energy ... -39.2 eV/cell

=====

The highest electronic total energy belongs to which entry? NaPm2NdTe4